# 1
Here is Mn2FeRuC after structural relaxation from Alexandria. Energies are from PBE.

Unit cell a=3.8096 b=3.8096 c=3.7686 alpha=90.00 beta=90.00 gamma=90.00
Closest atoms and distances in Å follow each position.
Space group P4/mmm (No. 123)
Inequivalent atoms, fractional coordinates:
Mn 0.0000 0.5000 0.0000 [2 per cell]  2 C 1.90
Fe 0.0000 0.0000 0.5000 [1 per cell]  2 C 1.88
Ru 0.5000 0.5000 0.5000 [1 per cell]  8 Mn 2.68, 4 Fe 2.69
C 0.0000 0.0000 0.0000 [1 per cell]  2 Fe 1.88, 4 Mn 1.90

=====

# 2
Here is Na3Pu3PdSe8 after structural relaxation from Alexandria. Energies are from PBE.

Properties
Energy relative to the elements, uncorrected in meV/atom: -1136.8

Unit cell a=8.1441 b=8.1441 c=21.1354 alpha=90.00 beta=90.00 gamma=120.00
Closest atoms and distances in Å follow each position.
Space group R-3m (No. 166, hexagonal axes)
Inequivalent atoms, fractional coordinates:
Na 0.0000 0.5000 0.0000 [9 per cell]  6 Se 3.01-3.03
Pu 0.0000 0.5000 0.5000 [9 per cell]  6 Se 2.86-2.87
Pd 0.0000 0.0000 0.5000 [3 per cell]  6 Se 2.67
Se 0.0000 0.0000 0.2440 [6 per cell]  3 Pu 2.86, 3 Na 3.01
Se 0.0217 0.5108 0.2385 [18 per cell]  1 Pd 2.67, 2 Pu 2.87

=====

# 3
Here is LiPuGa2 after structural relaxation from Alexandria. Energies are from PBE.

Properties
E above lowest polymorph in meV per atom: 42

Unit cell a=6.8184 b=6.8184 c=6.8184 alpha=90.00 beta=90.00 gamma=90.00
Closest atoms and distances in Å follow each position.
Space group Fm-3m (No. 225)
Inequivalent atoms, fractional coordinates:
Li 0.0000 0.0000 0.0000 [4 per cell]  8 Ga 2.95
Pu 0.0000 0.0000 0.5000 [4 per cell]  8 Ga 2.95
Ga 0.2500 0.2500 0.2500 [8 per cell]  4 Li 2.95, 4 Pu 2.95

=====

# 4
Here is Dy3Ga7Pd2 after structural relaxation from Alexandria. Energies are from PBE.

Unit cell a=4.2210 b=4.1972 c=13.4905 alpha=90.00 beta=98.91 gamma=90.00
Closest atoms and distances in Å follow each position.
Space group P2/m (No. 10)
Inequivalent atoms, fractional coordinates:
Dy 0.0000 0.0000 0.0000 [1 per cell]  12 Ga 2.98-3.02
Dy 0.3164 0.5000 0.6373 [2 per cell]  10 Ga 3.19-3.42, 4 Pd 3.24-3.26
Ga 0.0840 0.5000 0.1611 [2 per cell]  2 Pd 2.51
Ga 0.2251 0.0000 0.4499 [2 per cell]  1 Pd 2.47, 2 Ga 2.50
Ga 0.4195 0.0000 0.8383 [2 per cell]  2 Pd 2.52
Ga 0.5000 0.5000 0.0000 [1 per cell]  4 Dy 2.98, 8 Ga 3.00-3.02
Pd 0.1315 0.0000 0.2646 [2 per cell]  5 Ga 2.47-2.52

=====

# 5
Here is Mg3GaRh after structural relaxation from Alexandria. Energies are from PBE.

Properties
E above lowest polymorph in meV per atom: 354

Unit cell a=4.9370 b=4.9370 c=4.9370 alpha=90.00 beta=90.00 gamma=90.00
Closest atoms and distances in Å follow each position.
Space group Pm-3m (No. 221)
Inequivalent atoms, fractional coordinates:
Mg 0.0000 0.0000 0.5000 [3 per cell]  2 Rh 2.47
Ga 0.5000 0.5000 0.5000 [1 per cell]  12 Mg 3.49
Rh 0.0000 0.0000 0.0000 [1 per cell]  6 Mg 2.47

=====

# 6
Here is Ba2Co2As2N after structural relaxation from Alexandria. Energies are from PBE.

Properties
Energy relative to the elements, uncorrected in meV/atom: -651.6

Unit cell a=11.6483 b=4.1251 c=7.5525 alpha=90.00 beta=125.04 gamma=90.00
Closest atoms and distances in Å follow each position.
Space group C2/m (No. 12)
Inequivalent atoms, fractional coordinates:
Ba 0.0554 0.0000 0.3118 [4 per cell]  2 N 2.91, 1 As 3.25
Co 0.1692 0.5000 0.0656 [4 per cell]  1 N 1.73
As 0.2047 0.5000 0.7806 [4 per cell]  3 Co 2.41
N 0.0000 0.5000 0.0000 [2 per cell]  2 Co 1.73

=====

# 7
Here is PrSmYCu after structural relaxation from Alexandria. Energies are from PBE.

Unit cell a=3.5762 b=3.5762 c=8.8088 alpha=90.00 beta=90.00 gamma=90.00
Closest atoms and distances in Å follow each position.
Space group P4mm (No. 99)
Inequivalent atoms, fractional coordinates:
Pr 0.0000 0.0000 0.0000 [1 per cell]  4 Pr 3.58, 4 Y 3.70, 4 Sm 3.72
Sm 0.5000 0.5000 0.6908 [1 per cell]  4 Cu 3.08, 1 Y 3.38
Y 0.5000 0.5000 0.3065 [1 per cell]  4 Cu 3.01
Cu 0.0000 0.0000 0.4911 [1 per cell]  4 Y 3.01, 4 Sm 3.08

=====

# 8
Here is FePNCl2 after structural relaxation from Alexandria. Energies are from PBE.

Properties
E above lowest polymorph in meV per atom: 0
Energy relative to the elements, uncorrected in meV/atom: 979.6

Unit cell a=5.5866 b=5.5866 c=3.2411 alpha=90.00 beta=90.00 gamma=90.00
Closest atoms and distances in Å follow each position.
Space group P4/mmm (No. 123)
Inequivalent atoms, fractional coordinates:
Fe 0.0000 0.0000 0.0000 [1 per cell]  8 Cl 3.23, 2 Fe 3.24
P 0.5000 0.5000 0.0000 [1 per cell]  2 N 1.62
N 0.5000 0.5000 0.5000 [1 per cell]  2 P 1.62
Cl 0.0000 0.5000 0.5000 [2 per cell]  2 N 2.79

=====

# 9
Here is Ba2TlTc after structural relaxation from Alexandria. Energies are from PBE.

Properties
E above lowest polymorph in meV per atom: 53

Unit cell a=3.9746 b=5.7411 c=11.4614 alpha=90.00 beta=90.00 gamma=90.00
Closest atoms and distances in Å follow each position.
Space group Imm2 (No. 44)
Inequivalent atoms, fractional coordinates:
Ba 0.0000 0.0000 0.0000 [2 per cell]  2 Tc 3.37, 2 Ba 3.61, 4 Tl 3.67
Ba 0.0000 0.5000 0.1917 [2 per cell]  4 Tc 3.53, 2 Ba 3.61, 4 Tl 3.75-3.87
Tl 0.0000 0.0000 0.4023 [2 per cell]  2 Tc 2.75
Tc 0.0000 0.5000 0.7371 [2 per cell]  2 Tl 2.75

=====

# 10
Here is Ho4SnSe2 after structural relaxation from Alexandria. Energies are from PBE.

Properties
Energy relative to the elements, uncorrected in meV/atom: -1217.9

Unit cell a=4.1765 b=13.0580 c=13.6190 alpha=90.00 beta=90.00 gamma=90.00
Closest atoms and distances in Å follow each position.
Space group Cmcm (No. 63)
Inequivalent atoms, fractional coordinates:
Ho 0.0000 0.0000 0.0000 [4 per cell]  4 Se 2.85
Ho 0.0000 0.2700 0.1242 [8 per cell]  3 Se 2.78-2.87
Ho 0.0000 0.4377 0.7500 [4 per cell]  2 Se 2.78, 2 Sn 3.04
Sn 0.0000 0.1073 0.7500 [4 per cell]  6 Ho 3.04-3.14
Se 0.0000 0.3642 0.5586 [8 per cell]  6 Ho 2.78-2.87

=====

# 11
Here is Nd4In16Ni3 after structural relaxation from Alexandria. Energies are from PBE.

Unit cell a=6.6847 b=6.6847 c=12.3251 alpha=90.00 beta=90.00 gamma=90.00
Closest atoms and distances in Å follow each position.
Space group P4/mmm (No. 123)
Inequivalent atoms, fractional coordinates:
Nd 0.0000 0.5000 0.1945 [4 per cell]  12 In 3.30-3.37
In 0.0000 0.0000 0.1964 [2 per cell]  8 In 3.24-3.27, 4 Nd 3.34
In 0.2278 0.2278 0.0000 [4 per cell]  1 Ni 2.57
In 0.2473 0.2473 0.3817 [8 per cell]  2 Ni 2.78, 1 In 2.92
In 0.5000 0.5000 0.2129 [2 per cell]  1 Ni 2.62
Ni 0.0000 0.5000 0.5000 [2 per cell]  8 In 2.78
Ni 0.5000 0.5000 0.0000 [1 per cell]  6 In 2.57-2.62

=====

# 12
Here is Y2BeInB after structural relaxation from Alexandria. Energies are from PBE.

Unit cell a=5.2225 b=5.2225 c=3.7504 alpha=90.00 beta=90.00 gamma=90.00
Closest atoms and distances in Å follow each position.
Space group P4/mmm (No. 123)
Inequivalent atoms, fractional coordinates:
Y 0.0000 0.5000 0.0000 [2 per cell]  2 B 2.61
Be 0.0000 0.0000 0.5000 [1 per cell]  2 B 1.88
In 0.5000 0.5000 0.5000 [1 per cell]  8 Y 3.21
B 0.0000 0.0000 0.0000 [1 per cell]  2 Be 1.88

=====

Calculated E in order - -8.901 -6.472 -5.854 -4.453 -3.022 -5.749 -5.100 -4.199 -3.697 -5.401 -3.835 -5.399 eV/atom
Calculated Fermi-level density of states in order - 6.6 29.2 8.4 6.7 1.7 4.1 3.8 5.1 4.3 4.7 10.2 3.5 states/eV/f.u.